Entry 1:
# ThZrMoC3

An optimized crystal structure of ThZrMoC3 (GGA-PBE, Alexandria via LeMat-Bulk).

```
ThZrMoC3
1.0
-2.5143 1.1888 -2.0882
-0.3034 -6.4531 -3.3084
-5.4291 -1.3465 5.7704
Th Zr Mo C
2 2 2 6
Direct
0.7500 0.8296 0.8155
0.2500 0.1704 0.1845
0.2500 0.6367 0.1339
0.7500 0.3633 0.8661
0.2500 0.1158 0.5984
0.7500 0.8842 0.4016
0.2500 0.8262 0.5178
0.7500 0.8732 0.1496
0.7500 0.4170 0.1400
0.7500 0.1738 0.4822
0.2500 0.5830 0.8600
0.2500 0.1268 0.8504
```

Final energy = -109.922 eV for the cell shown
ΔH_f (0 K) = -82 meV/atom

***

Entry 2:
# Ti2MoC

An optimized crystal structure of Ti2MoC (GGA-PBE, Alexandria via LeMat-Bulk).

```
Ti2MoC
1.0
-6.7634 2.0460 -2.0648
1.1258 -2.9775 -6.6378
-3.6022 -2.3406 -3.6431
Mo C Ti
2 2 4
Direct
0.0000 0.0000 0.0000
0.7500 0.2500 0.5000
0.5000 0.5000 0.0000
0.2500 0.7500 0.5000
0.5024 0.1250 0.2500
0.2476 0.6250 0.2500
0.3750 0.4976 0.7500
0.8750 0.7524 0.7500
```

Final energy = -71.183 eV for the cell shown
ΔH_f (0 K) = 63 meV/atom